HoCuPb PBE-GGA relaxed; space group = No. 194; D(E_F) = 1.77 states/eV/f.u.; raw total energy = -4.452 eV/atom; formation enthalpy at 0 K = -0.325 eV per atom
1.0
-1.2873 4.2087 1.4280
1.4698 -3.1352 3.0692
6.8525 2.3833 -0.8469
Pb Ho Cu
2 2 2
direct
0.6667 0.3333 0.2500 Pb
0.3333 0.6667 0.7500 Pb
0.0000 0.0000 0.5000 Ho
0.0000 0.0000 0.0000 Ho
0.6667 0.3333 0.7500 Cu
0.3333 0.6667 0.2500 Cu



Ho5CuPb3 PBE-GGA relaxed; space group = No. 193; D(E_F) = 7.46 states/eV/f.u.; raw total energy = -4.721 eV/atom; formation enthalpy at 0 K = -0.487 eV per atom
1.0
-3.1681 -7.9875 3.2134
4.0319 0.3571 -8.2329
5.8889 -1.1964 2.8321
Ho Cu Pb
10 2 6
direct
0.2536 0.0000 0.7500 Ho
0.7464 0.0000 0.2500 Ho
0.0000 0.2536 0.7500 Ho
0.0000 0.7464 0.2500 Ho
0.7464 0.7464 0.7500 Ho
0.2536 0.2536 0.2500 Ho
0.3333 0.6667 0.5000 Ho
0.6667 0.3333 0.5000 Ho
0.6667 0.3333 0.0000 Ho
0.3333 0.6667 0.0000 Ho
0.0000 0.0000 0.5000 Cu
0.0000 0.0000 0.0000 Cu
0.6110 0.0000 0.7500 Pb
0.3890 0.0000 0.2500 Pb
0.0000 0.6110 0.7500 Pb
0.0000 0.3890 0.2500 Pb
0.3890 0.3890 0.7500 Pb
0.6110 0.6110 0.2500 Pb



HoCuPb PBE-GGA relaxed; space group = No. 156; D(E_F) = 1.09 states/eV/f.u.; raw total energy = -4.408 eV/atom; formation enthalpy at 0 K = -0.281 eV per atom
1.0
-3.3370 -0.5038 1.2997
0.3372 -4.5460 -0.8961
1.3544 1.6619 4.1215
Pb Ho Cu
1 1 1
direct
0.1660 0.3333 0.6667 Pb
0.6664 0.6667 0.3333 Ho
0.1675 0.0000 0.0000 Cu



HoCuPb2 PBE-GGA relaxed; space group = No. 166; D(E_F) = 2.39 states/eV/f.u.; raw total energy = -3.813 eV/atom; formation enthalpy at 0 K = 0.209 eV per atom; excess energy over the best structure of this formula in the dataset = 359 meV/atom
1.0
3.4869 0.0000 0.0000
1.7435 3.0198 0.0000
1.7435 1.0066 10.3854
Pb Ho Cu
2 1 1
direct
0.1014 0.1014 0.6958 Pb
0.8986 0.8986 0.3042 Pb
0.0000 0.0000 0.0000 Ho
0.5000 0.5000 0.5000 Cu



Ho12Cu6Pb PBE-GGA relaxed; space group = No. 204; D(E_F) = 13.01 states/eV/f.u.; raw total energy = -4.600 eV/atom; formation enthalpy at 0 K = -0.221 eV per atom
1.0
8.5209 0.0000 0.0000
-2.8403 8.0336 0.0000
-2.8403 -4.0168 6.9573
Ho Cu Pb
12 6 1
direct
0.3002 0.1109 0.8107 Ho
0.3002 0.4895 0.1893 Ho
0.6998 0.5105 0.8107 Ho
0.6998 0.8891 0.1893 Ho
0.1109 0.8107 0.3002 Ho
0.4895 0.1893 0.3002 Ho
0.5105 0.8107 0.6998 Ho
0.8891 0.1893 0.6998 Ho
0.8107 0.3002 0.1109 Ho
0.1893 0.3002 0.4895 Ho
0.8107 0.6998 0.5105 Ho
0.1893 0.6998 0.8891 Ho
0.3764 0.5000 0.8764 Cu
0.6236 0.5000 0.1236 Cu
0.5000 0.8764 0.3764 Cu
0.5000 0.1236 0.6236 Cu
0.8764 0.3764 0.5000 Cu
0.1236 0.6236 0.5000 Cu
0.0000 0.0000 0.0000 Pb



HoCuPb PBE-GGA relaxed; space group = No. 107; D(E_F) = 1.54 states/eV/f.u.; raw total energy = -4.284 eV/atom; formation enthalpy at 0 K = -0.157 eV per atom
1.0
3.4485 0.0000 0.0000
0.0000 3.4485 0.0000
-1.7242 -1.7242 5.8342
Pb Ho Cu
1 1 1
direct
0.9313 0.9313 0.8625 Pb
0.6409 0.6409 0.2818 Ho
0.2778 0.2778 0.5556 Cu



PrHoCuPb PBE-GGA relaxed; space group = No. 216; D(E_F) = 4.62 states/eV/f.u.; raw total energy = -4.576 eV/atom; formation enthalpy at 0 K = -0.286 eV per atom
1.0
-2.1695 2.5749 -4.0921
-1.6299 -2.6941 -4.2623
-5.1805 -0.4983 -0.9983
Pb Pr Ho Cu
1 1 1 1
direct
0.5000 0.5000 0.5000 Pb
0.2500 0.2500 0.2500 Pr
0.7500 0.7500 0.7500 Ho
0.0000 0.0000 0.0000 Cu



Ho2CuPbS4 PBE-GGA relaxed; space group = No. 63; D(E_F) = 2.84 states/eV/f.u.; raw total energy = -5.499 eV/atom; formation energy (no corrections) = -1.315 eV per atom
1.0
-1.0358 3.7046 -0.4344
-1.5565 -1.7027 6.4396
12.4960 3.9713 4.0704
Ho Cu Pb S
4 2 2 8
direct
0.3696 0.7393 0.5615 Ho
0.6304 0.2607 0.0615 Ho
0.6304 0.2607 0.4385 Ho
0.3696 0.7393 0.9385 Ho
0.8375 0.6751 0.7500 Cu
0.1625 0.3249 0.2500 Cu
0.1195 0.2390 0.7500 Pb
0.8805 0.7610 0.2500 Pb
0.2721 0.5441 0.1148 S
0.7279 0.4559 0.6148 S
0.7279 0.4559 0.8852 S
0.2721 0.5441 0.3852 S
0.0000 0.0000 0.5000 S
0.0000 0.0000 0.0000 S
0.4413 0.8825 0.7500 S
0.5587 0.1175 0.2500 S



HoCuPbS3 PBE-GGA relaxed; space group = No. 11; raw total energy = -5.226 eV/atom; formation energy (no corrections) = -1.098 eV per atom
1.0
-1.9397 -2.9459 1.7019
5.4486 -5.3889 -3.1181
3.4060 2.1769 7.6502
Ho Cu Pb S
2 2 2 6
direct
0.2500 0.6730 0.1686 Ho
0.7500 0.3270 0.8314 Ho
0.2500 0.0826 0.5850 Cu
0.7500 0.9174 0.4150 Cu
0.2500 0.1888 0.2363 Pb
0.7500 0.8112 0.7637 Pb
0.7500 0.8926 0.1374 S
0.2500 0.1074 0.8626 S
0.2500 0.7835 0.4875 S
0.7500 0.2165 0.5125 S
0.7500 0.4390 0.1607 S
0.2500 0.5610 0.8393 S



HoScCuPb PBE-GGA relaxed; space group = No. 216; D(E_F) = 3.79 states/eV/f.u.; raw total energy = -4.946 eV/atom; formation enthalpy at 0 K = -0.267 eV per atom
1.0
5.0495 0.0000 0.0000
2.5247 4.3730 0.0000
2.5247 1.4577 4.1229
Pb Sc Ho Cu
1 1 1 1
direct
0.5000 0.5000 0.5000 Pb
0.2500 0.2500 0.2500 Sc
0.7500 0.7500 0.7500 Ho
0.0000 0.0000 0.0000 Cu



HoCuPbSe3 PBE-GGA relaxed; space group = No. 62; raw total energy = -4.817 eV/atom; formation energy (no corrections) = -1.011 eV per atom
1.0
4.0577 0.0000 0.0000
0.0000 10.6192 0.0000
0.0000 0.0000 13.6754
Ho Cu Pb Se
4 4 4 12
direct
0.7500 0.9778 0.2437 Ho
0.2500 0.0222 0.7563 Ho
0.7500 0.4778 0.2563 Ho
0.2500 0.5222 0.7437 Ho
0.2500 0.7349 0.2209 Cu
0.7500 0.2651 0.7791 Cu
0.2500 0.2349 0.2791 Cu
0.7500 0.7651 0.7209 Cu
0.7500 0.7222 0.0062 Pb
0.2500 0.2778 0.9938 Pb
0.7500 0.2222 0.4938 Pb
0.2500 0.7778 0.5062 Pb
0.7500 0.4557 0.8848 Se
0.2500 0.5443 0.1152 Se
0.7500 0.9557 0.6152 Se
0.2500 0.0443 0.3848 Se
0.2500 0.4122 0.3930 Se
0.7500 0.5878 0.6070 Se
0.2500 0.9122 0.1070 Se
0.7500 0.0878 0.8930 Se
0.7500 0.2314 0.1701 Se
0.2500 0.7686 0.8299 Se
0.7500 0.7314 0.3299 Se
0.2500 0.2686 0.6701 Se



TbHoCuPb PBE-GGA relaxed; space group = No. 216; D(E_F) = 4.25 states/eV/f.u.; raw total energy = -4.548 eV/atom; formation enthalpy at 0 K = -0.295 eV per atom
1.0
5.1998 0.0000 0.0000
2.5999 4.5032 0.0000
2.5999 1.5011 4.2456
Pb Tb Ho Cu
1 1 1 1
direct
0.7500 0.7500 0.7500 Pb
0.0000 0.0000 0.0000 Tb
0.5000 0.5000 0.5000 Ho
0.2500 0.2500 0.2500 Cu